Entry 1:
# Mg3Hg

A PBEsol-optimized structure of Mg3Hg (meta-GGA SCAN, Alexandria).

```
Mg3Hg
1.0
3.853 0.000 0.000
0.000 4.647 -0.476
-1.926 -1.819 4.900
Mg Hg
3 1
Cartesian
0.000 2.589 2.211 Mg
1.926 0.239 2.213 Mg
1.926 2.324 -0.238 Mg
0.000 0.000 0.000 Hg
```

space group: C2/m, No. 12
DFT formation energy: -21.0 kJ per mole of atoms

Entry 2:
# Er2Sb2O7

A PBEsol-optimized structure of Er2Sb2O7 (meta-GGA SCAN, Alexandria).

```
Er2Sb2O7
1.0
-4.758 5.620 0.835
-0.393 -5.886 4.486
11.538 8.049 11.572
Er O Sb
12 42 12
Cartesian
-1.567 -1.049 2.631 Er
3.519 -2.208 7.585 Er
9.287 1.791 13.391 Er
4.235 8.050 8.956 Er
-3.954 4.670 0.694 Er
6.821 5.321 8.615 Er
6.703 2.453 11.066 Er
7.303 9.602 14.377 Er
1.075 1.298 2.805 Er
1.220 3.516 5.558 Er
1.267 0.779 8.093 Er
1.794 8.719 6.484 Er
8.073 3.581 12.551 O
7.851 9.081 10.565 O
3.339 9.368 10.514 O
-0.278 0.450 1.366 O
-2.699 3.001 2.322 O
5.027 1.522 7.453 O
1.908 -3.145 5.920 O
10.558 2.736 14.844 O
-0.110 -0.144 4.184 O
5.137 4.165 7.174 O
5.328 3.425 9.704 O
-0.069 -2.783 3.723 O
2.944 4.391 9.162 O
-0.605 -2.313 6.178 O
0.391 4.632 9.870 O
8.571 8.069 12.800 O
2.529 6.673 10.236 O
5.689 7.082 10.236 O
2.514 2.150 4.155 O
-2.963 0.212 4.048 O
8.361 5.639 14.699 O
6.359 6.028 12.550 O
1.769 -0.564 6.469 O
5.415 3.675 12.880 O
2.751 4.869 4.670 O
5.245 1.013 11.941 O
5.941 8.584 12.807 O
5.750 5.623 15.107 O
2.768 3.881 12.257 O
2.829 1.807 9.456 O
-0.334 2.605 4.105 O
2.763 6.916 7.578 O
-0.006 5.264 4.185 O
0.348 7.766 5.211 O
0.712 4.768 7.250 O
-0.085 2.116 6.930 O
8.258 6.465 10.310 O
-2.415 4.642 4.773 O
10.873 5.772 12.578 O
3.251 6.368 12.848 O
2.722 2.452 6.857 O
-2.284 5.610 2.299 O
4.003 2.966 8.313 Sb
6.914 4.625 13.814 Sb
-1.456 1.720 0.256 Sb
3.726 0.882 5.230 Sb
9.487 4.786 11.109 Sb
-1.546 1.162 5.512 Sb
1.593 5.752 8.719 Sb
7.099 7.545 11.540 Sb
4.117 5.182 11.408 Sb
4.215 5.860 6.059 Sb
-1.330 4.106 3.220 Sb
0.881 -1.645 5.074 Sb
```

formation energy from raw total energies: -2597 meV per atom
space group: P3_121, No. 152

| no. | calculated volume (Å³/cell) | VASP energy (eV per atom) |
| --- | --- | --- |
| 1 | 84.40 | -20.990 |
| 2 | 866.48 | -22.490 |